{
  "formula": "BeTl",
  "functional": "PBE",
  "state": "relaxed",
  "lattice_angstrom": [[5.370, 0.000, 0.000], [0.000, 7.310, 0.000], [0.000, 0.000, 8.587]],
  "species": ["Be", "Be", "Be", "Be", "Be", "Be", "Be", "Be", "Tl", "Tl", "Tl", "Tl", "Tl", "Tl", "Tl", "Tl"],
  "frac_coords": [[0.118, 0.152, 0.339], [0.161, 0.657, 0.976], [0.339, 0.343, 0.476], [0.382, 0.848, 0.839], [0.618, 0.348, 0.661], [0.661, 0.843, 0.024], [0.839, 0.157, 0.524], [0.882, 0.652, 0.161], [0.193, 0.976, 0.100], [0.196, 0.572, 0.677], [0.304, 0.428, 0.177], [0.307, 0.024, 0.600], [0.693, 0.524, 0.900], [0.696, 0.928, 0.323], [0.804, 0.072, 0.823], [0.807, 0.476, 0.400]],
  "space_group": "No. 19",
  "energy_ev_per_atom": -2.5063,
  "polymorph_energy_mev_per_atom": 102,
  "formation_enthalpy_0k_ev_per_atom": 0.540
}